No. 1
Here is a relaxed structure of NaGaP2S from Alexandria. Energies are from GGA-PBE.

## Properties
* energy: -3.463 eV/atom
* formation energy from raw total energies: 0.396 eV/atom
* energy above the lowest structure with this stoichiometry: 0 kJ/mol of formula units

a b c (Å): 4.7502 4.7502 5.0210
angles (deg): 90.00 90.00 90.00
With the nearest neighbours (Å) after each atom.
Element x y z (fractional)
Na  0.0000  0.0000  0.0000  4 S 3.36, 8 P 3.46
Ga  0.5000  0.5000  0.5000  4 P 2.38, 2 S 2.51
P  0.0000  0.5000  0.5000  2 Ga 2.38
P  0.5000  0.0000  0.5000  2 Ga 2.38
S  0.5000  0.5000  0.0000  2 Ga 2.51

***

No. 2
Here is a relaxed structure of NaGaPS4 from Alexandria. Energies are from GGA-PBE.

## Properties
* energy: -4.187 eV/atom
* formation energy from raw total energies: -0.434 eV/atom

a b c (Å): 6.5302 6.5302 6.5302
angles (deg): 120.40 120.40 89.30
With the nearest neighbours (Å) after each atom.
Element x y z (fractional)
Na  0.0000  0.0000  0.0000  4 S 2.80
Ga  0.5000  0.5000  0.0000  4 S 2.55
P  0.2500  0.7500  0.5000  4 S 2.06
S  0.1882  0.6567  0.1158  1 P 2.06
S  0.3433  0.4591  0.5315  1 P 2.06
S  0.5409  0.0724  0.8842  1 P 2.06
S  0.9276  0.8118  0.4685  1 P 2.06

***

No. 3
Here is a relaxed structure of NaGa2PSe6 from Alexandria. Energies are from GGA-PBE.

## Properties
* energy: -3.775 eV/atom
* formation energy from raw total energies: -0.406 eV/atom

a b c (Å): 10.1094 10.1094 7.1336
angles (deg): 109.60 109.60 88.14
With the nearest neighbours (Å) after each atom.
Element x y z (fractional)
Na  0.0193  0.9807  0.7500  6 Se 3.07-3.22
Na  0.9807  0.0193  0.2500  6 Se 3.07-3.22
Ga  0.1802  0.3335  0.1726  4 Se 2.37-2.52
Ga  0.3335  0.1802  0.6726  4 Se 2.37-2.52
Ga  0.6665  0.8198  0.3274  4 Se 2.37-2.52
Ga  0.8198  0.6665  0.8274  4 Se 2.37-2.52
P  0.2518  0.7482  0.2500  4 Se 2.25-2.28
P  0.7482  0.2518  0.7500  4 Se 2.25-2.28
Se  0.0773  0.7482  0.9481  1 P 2.28, 1 Ga 2.52
Se  0.1627  0.3073  0.5013  2 Ga 2.37-2.51
Se  0.2421  0.5812  0.3902  1 P 2.25, 1 Ga 2.43
Se  0.2518  0.9227  0.5519  1 P 2.28, 1 Ga 2.52
Se  0.3073  0.1627  0.0013  2 Ga 2.37-2.51
Se  0.4188  0.7579  0.1098  1 P 2.25, 1 Ga 2.43
Se  0.5812  0.2421  0.8902  1 P 2.25, 1 Ga 2.43
Se  0.6927  0.8373  0.9987  2 Ga 2.37-2.51
Se  0.7482  0.0773  0.4481  1 P 2.28, 1 Ga 2.52
Se  0.7579  0.4188  0.6098  1 P 2.25, 1 Ga 2.43
Se  0.8373  0.6927  0.4987  2 Ga 2.37-2.51
Se  0.9227  0.2518  0.0519  1 P 2.28, 1 Ga 2.52

***

No. 4
Here is a relaxed structure of NaGaPSe4 from Alexandria. Energies are from GGA-PBE.

## Properties
* energy: -3.779 eV/atom
* formation energy from raw total energies: -0.394 eV/atom

a b c (Å): 6.5058 6.5058 6.5058
angles (deg): 119.23 119.23 91.35
With the nearest neighbours (Å) after each atom.
Element x y z (fractional)
Na  0.0000  0.0000  0.0000  4 Se 2.94
Ga  0.5000  0.5000  0.0000  4 Se 2.44
P  0.7500  0.2500  0.5000  4 Se 2.38
Se  0.1176  0.5553  0.9673  1 P 2.38, 1 Ga 2.44
Se  0.4447  0.4120  0.5623  1 P 2.38, 1 Ga 2.44
Se  0.5880  0.1503  0.0327  1 P 2.38, 1 Ga 2.44
Se  0.8497  0.8824  0.4377  1 P 2.38, 1 Ga 2.44